## ErCdNi4 (PBE)

Data for a relaxed ErCdNi4 crystal.

Output
ΔE_f (meV/atom): -371
Mass density (Mg/m³): 9.92
Calculated volume (Å³/cell): 86.1

Geometry as POSCAR:
```
ErCdNi4
1.0
4.9570 0.0000 0.0000
2.4785 4.2928 0.0000
2.4785 1.4309 4.0473
Ni Cd Er
4 1 1
direct
0.6257 0.6257 0.6257 Ni
0.1229 0.6257 0.6257 Ni
0.6257 0.1229 0.6257 Ni
0.6257 0.6257 0.1229 Ni
0.0000 0.0000 0.0000 Cd
0.2500 0.2500 0.2500 Er
```